Material: MoP2Os
Method: DFT, PBEsol
State: optimized geometry

## Properties
Energy above the most stable polymorph in this dataset (meV/atom): 0
Space-group type: R-3m (166)
Calculated volume (Å³/cell): 53
DOS(E_F) (states/eV/atom): 0.751
Magnetization (μB/atom): 0.000

a b c (Å): 2.874 2.874 7.657
angles (deg): 79.18 79.18 60.00
Sites, in units of the cell vectors:
Mo: 0.500 0.500 0.500
Os: 0.000 0.000 0.000
P: 0.251 0.251 0.247
P: 0.749 0.749 0.753